KAu2Cl, relaxed, DFT PBEsol; polymorph energy (0 for the lowest one) = 99.1 meV/atom; E_form (uncorrected) = -401 meV/atom; D(E_F) = 0.96 states/eV/cell
1.0
3.899 0.000 0.000
0.000 3.899 0.000
0.000 0.000 6.147
K Au Cl
1 2 1
Direct
0.000 0.000 0.000
0.000 0.500 0.500
0.500 0.000 0.500
0.500 0.500 0.000